1.
Re2HgW | PBE-GGA | relaxed

Formation energy = 707 meV per atom
Total moment = 0.00 μB/cell

Lattice parameters (Å, degrees): 3.8629 4.0939 4.0939 90.00 90.00 90.00
Positions (direct):
Hg  0.5000  0.0000  0.5000
Re  0.0000  0.0000  0.0000
Re  0.0000  0.5000  0.5000
W  0.5000  0.5000  0.0000

---

2.
MgScNiIr | PBE-GGA | relaxed

Formation energy = -571 meV per atom
Total moment = 0.00 μB/cell

Lattice parameters (Å, degrees): 4.4519 4.4519 4.4519 60.00 60.00 60.00
Positions (direct):
Sc  0.7500  0.7500  0.7500
Ni  0.5000  0.5000  0.5000
Mg  0.2500  0.2500  0.2500
Ir  0.0000  0.0000  0.0000

---

3.
Tb7Pm2Pr | PBE-GGA | relaxed

Formation energy = 675 meV per atom
Total moment = 0.00 μB/cell
Relative energy among the computed polymorphs = 0.2569 eV/atom

Lattice parameters (Å, degrees): 5.5176 9.3661 9.3662 124.74 90.00 90.00
Positions (direct):
Tb  0.0000  0.7872  0.2128
Tb  0.0000  0.2128  0.7872
Tb  0.5000  0.0654  0.2901
Tb  0.5000  0.9346  0.7099
Tb  0.5000  0.2901  0.0654
Tb  0.5000  0.7099  0.9346
Tb  0.5000  0.5000  0.5000
Pm  0.5000  0.7032  0.2968
Pm  0.5000  0.2968  0.7032
Pr  0.0000  0.0000  0.0000

---

Q: What is the formation energy in the second record?
A: -571 meV per atom

---

Q: The lowest formation energy belongs to which entry?
A: MgScNiIr